Record 1
# GGA-PBE K2MoIr, relaxed
data_K2MoIr
_symmetry_space_group_name_H-M 'P 1'
_symmetry_Int_Tables_number 1
_cell_length_a 2.784
_cell_length_b 5.786
_cell_length_c 5.316
_cell_angle_alpha 90.00
_cell_angle_beta 90.00
_cell_angle_gamma 90.00
loop_
_symmetry_equiv_pos_as_xyz
'x,y,z'
loop_
_atom_site_label
_atom_site_fract_x
_atom_site_fract_y
_atom_site_fract_z
Ir1 0.500 0.500 0.750
K1 0.000 0.000 0.997
K2 0.000 0.000 0.503
Mo1 0.500 0.500 0.250
# Energy ... -4.274 eV/atom
# Energy above the lowest structure with this stoichiometry ... 0.613 eV/atom
# Fermi-level density of states ... 1.29 states/eV/atom
# Crystal system ... orthorhombic
# Calculated formation energy ... 1.198 eV per atom
# Magnetic moment ... 0.3 μB/f.u.

***

Record 2
# GGA-PBE KMo2Ir, relaxed
data_KMo2Ir
_symmetry_space_group_name_H-M 'P 1'
_symmetry_Int_Tables_number 1
_cell_length_a 4.958
_cell_length_b 4.958
_cell_length_c 2.795
_cell_angle_alpha 90.00
_cell_angle_beta 90.00
_cell_angle_gamma 90.00
loop_
_symmetry_equiv_pos_as_xyz
'x,y,z'
loop_
_atom_site_label
_atom_site_fract_x
_atom_site_fract_y
_atom_site_fract_z
Ir1 0.500 0.000 0.500
K1 0.000 0.500 0.500
Mo1 0.000 0.000 0.000
Mo2 0.500 0.500 0.000
# Energy ... -6.486 eV/atom
# Energy above the lowest structure with this stoichiometry ... 0.823 eV/atom
# Fermi-level density of states ... 1.18 states/eV/atom
# Crystal system ... tetragonal
# Calculated formation energy ... 1.419 eV per atom
# Magnetic moment ... 0.0 μB/f.u.

***

Record 3
# GGA-PBE KMoIr2, relaxed
data_KMoIr2
_symmetry_space_group_name_H-M 'P 1'
_symmetry_Int_Tables_number 1
_cell_length_a 2.910
_cell_length_b 2.907
_cell_length_c 9.321
_cell_angle_alpha 71.80
_cell_angle_beta 90.00
_cell_angle_gamma 90.00
loop_
_symmetry_equiv_pos_as_xyz
'x,y,z'
loop_
_atom_site_label
_atom_site_fract_x
_atom_site_fract_y
_atom_site_fract_z
Ir1 0.000 0.057 0.943
Ir2 0.000 0.443 0.557
K1 0.500 0.250 0.250
Mo1 0.500 0.750 0.750
# Energy ... -7.115 eV/atom
# Energy above the lowest structure with this stoichiometry ... 0.000 eV/atom
# Fermi-level density of states ... 1.51 states/eV/atom
# Crystal system ... tetragonal
# Calculated formation energy ... 0.298 eV per atom
# Magnetic moment ... 0.0 μB/f.u.